No. 1
This record from the Alexandria database describes crystalline SnPbOF2 at its relaxed geometry. The functional is PBE.

**Total moment**: 0.00 μB/f.u.
**ΔE_f (raw)**: -1477 meV per atom
**Energy above the most stable polymorph in this dataset**: 0.0 meV per atom
**Calculated total energy**: -23.796 eV/cell
**DOS at the Fermi energy**: 0.97 states/eV/cell

Lattice parameters (Å, degrees): 4.502 4.502 4.344 90.00 90.00 90.00
Space group P4/mmm (No. 123)
Unique sites:
Sn1 0.000 0.000 0.000 (multiplicity 1)
Pb1 0.500 0.500 0.500 (multiplicity 1)
O1 0.000 0.000 0.500 (multiplicity 1)
F1 0.000 0.500 0.000 (multiplicity 2)

No. 2
This record from the Alexandria database describes crystalline LaErGa2 at its relaxed geometry. The functional is PBE.

**Total moment**: 0.00 μB/f.u.
**DFT formation energy**: -0.5859 eV per atom
**Calculated total energy**: -17.888 eV/cell
**DOS at the Fermi energy**: 2.30 states/eV/cell

Lattice parameters (Å, degrees): 3.647 3.647 7.328 90.00 90.00 90.00
Space group P4/mmm (No. 123)
Unique sites:
La1 0.000 0.000 0.000 (multiplicity 1)
Er1 0.000 0.000 0.500 (multiplicity 1)
Ga1 0.500 0.500 0.276 (multiplicity 2)